[1]
This record from Alexandria via LeMat-Bulk describes AgHg4 after structural relaxation. The functional is PBEsol.

Output
Final energy = -1.058 eV/atom
DFT formation energy = 58 meV per atom
Magnetization = 0.0 Bohr magnetons per cell
Theoretical density = 14.38 g cm⁻³

abc: 6.9029 6.9029 4.4119
angles: 90.00 90.00 90.00
Space group I4/m (No. 87)
Unique sites:
1 Ag 0.0000 0.0000 0.0000 [2 per cell]
2 Hg 0.1063 0.7043 0.5000 [8 per cell]

[2]
This record from Alexandria via LeMat-Bulk describes Ag4Hg3 after structural relaxation. The functional is PBEsol.

Output
Final energy = -2.100 eV/atom
DFT formation energy = 35 meV per atom
Magnetization = 0.0 Bohr magnetons per cell
Theoretical density = 13.21 g cm⁻³

abc: 3.4801 3.4801 21.4556
angles: 90.00 90.00 90.00
Space group I4/mmm (No. 139)
Unique sites:
1 Ag 0.0000 0.0000 0.0708 [4 per cell]
2 Ag 0.0000 0.0000 0.3626 [4 per cell]
3 Hg 0.0000 0.0000 0.2085 [4 per cell]
4 Hg 0.0000 0.0000 0.5000 [2 per cell]

[3]
This record from Alexandria via LeMat-Bulk describes Ag3Hg after structural relaxation. The functional is PBEsol.

Output
Final energy = -2.633 eV/atom
DFT formation energy = -8 meV per atom
Magnetization = 0.0 Bohr magnetons per cell
Theoretical density = 12.44 g cm⁻³

abc: 4.1060 4.1060 16.5995
angles: 90.00 90.00 90.00
Space group I4/mmm (No. 139)
Unique sites:
1 Ag 0.0000 0.0000 0.1240 [4 per cell]
2 Ag 0.0000 0.5000 0.0000 [4 per cell]
3 Ag 0.0000 0.5000 0.2500 [4 per cell]
4 Hg 0.0000 0.0000 0.3742 [4 per cell]

[4]
This record from Alexandria via LeMat-Bulk describes Ag3Hg after structural relaxation. The functional is PBEsol.

Output
Final energy = -2.619 eV/atom
DFT formation energy = 6 meV per atom
Magnetization = 0.0 Bohr magnetons per cell
Theoretical density = 12.40 g cm⁻³

abc: 5.1017 9.5134 5.7870
angles: 90.00 90.00 90.00
Space group Pnma (No. 62)
Unique sites:
1 Ag 0.0787 0.2500 0.1253 [4 per cell]
2 Ag 0.2462 0.5012 0.8733 [8 per cell]
3 Hg 0.0771 0.2500 0.6158 [4 per cell]

[5]
This record from Alexandria via LeMat-Bulk describes Ag3Hg after structural relaxation. The functional is PBEsol.

Output
Final energy = -2.619 eV/atom
DFT formation energy = 6 meV per atom
Magnetization = 0.0 Bohr magnetons per cell
Theoretical density = 12.41 g cm⁻³

abc: 2.9781 9.4748 4.9702
angles: 90.00 90.00 90.00
Space group Imm2 (No. 44)
Unique sites:
1 Ag 0.0000 0.0000 0.0000 [2 per cell]
2 Ag 0.0000 0.2524 0.6564 [4 per cell]
3 Hg 0.0000 0.5000 0.0027 [2 per cell]

[6]
This record from Alexandria via LeMat-Bulk describes AgHg after structural relaxation. The functional is PBEsol.

Output
Final energy = -1.915 eV/atom
DFT formation energy = 24 meV per atom
Magnetization = 0.0 Bohr magnetons per cell
Energy above the lowest structure with this stoichiometry = 7.8 meV per atom
Theoretical density = 13.67 g cm⁻³

abc: 10.8734 2.9869 5.0845
angles: 90.00 114.78 90.00
Space group C2/m (No. 12)
Unique sites:
1 Ag 0.1329 0.0000 0.3002 [4 per cell]
2 Hg 0.1182 0.5000 0.7929 [4 per cell]